[1]
A plane-wave DFT calculation with GGA-PBE was carried out for a relaxed structure of Ag3SnAu4.

a = 4.351 Å, b = 4.342 Å, c = 10.476 Å
α = 128.38°, β = 101.98°, γ = 90.00°
Sites, in units of the cell vectors:
Ag (0.000, 0.500, 0.000)
Ag (0.248, 0.245, 0.496)
Ag (0.752, 0.755, 0.504)
Sn (0.500, 0.000, 0.000)
Au (0.627, 0.881, 0.254)
Au (0.373, 0.119, 0.746)
Au (0.873, 0.617, 0.745)
Au (0.127, 0.383, 0.255)

Calculated values
Energy of formation from the pure elements, kcal/mol of atoms: -1.0
Total moment, μB per atom: 0.000
Mass density, g/cm3: 13.65

***

[2]
A plane-wave DFT calculation with GGA-PBE was carried out for a relaxed structure of AgSn5Au3.

a = 7.789 Å, b = 7.789 Å, c = 9.822 Å
α = 68.42°, β = 68.42°, γ = 68.96°
Sites, in units of the cell vectors:
Ag (0.115, 0.115, 0.682)
Ag (0.885, 0.885, 0.318)
Sn (0.976, 0.391, 0.406)
Sn (0.303, 0.697, 0.000)
Sn (0.785, 0.785, 0.005)
Sn (0.438, 0.438, 0.358)
Sn (0.562, 0.562, 0.642)
Sn (0.215, 0.215, 0.995)
Sn (0.391, 0.976, 0.406)
Sn (0.697, 0.303, 0.000)
Sn (0.024, 0.609, 0.594)
Sn (0.609, 0.024, 0.594)
Au (0.679, 0.679, 0.822)
Au (0.665, 0.665, 0.310)
Au (0.000, 0.000, 0.000)
Au (0.000, 0.000, 0.500)
Au (0.321, 0.321, 0.178)
Au (0.335, 0.335, 0.690)

Calculated values
Energy of formation from the pure elements, kcal/mol of atoms: 1.0
Total moment, μB per atom: 0.000
Mass density, g/cm3: 8.62

***

[3]
A plane-wave DFT calculation with GGA-PBE was carried out for a relaxed structure of AgSnAu.

a = 4.609 Å, b = 4.609 Å, c = 4.609 Å
α = 60.00°, β = 60.00°, γ = 60.00°
Sites, in units of the cell vectors:
Au (0.250, 0.250, 0.250)
Sn (0.500, 0.500, 0.500)
Ag (0.000, 0.000, 0.000)

Calculated values
Energy of formation from the pure elements, kcal/mol of atoms: -1.4
Total moment, μB per atom: 0.000
Energy relative to the lowest polymorph listed for this composition, kJ/mol of formula units: 0
Mass density, g/cm3: 10.16

***

[4]
A plane-wave DFT calculation with GGA-PBE was carried out for a relaxed structure of Ag3SnAu12.

a = 4.237 Å, b = 4.237 Å, c = 16.372 Å
α = 90.00°, β = 90.00°, γ = 90.00°
Sites, in units of the cell vectors:
Ag (0.000, 0.000, 0.255)
Ag (0.000, 0.000, 0.500)
Ag (0.000, 0.000, 0.745)
Sn (0.000, 0.000, 0.000)
Au (0.500, 0.500, 0.000)
Au (0.500, 0.500, 0.255)
Au (0.500, 0.500, 0.500)
Au (0.500, 0.500, 0.745)
Au (0.500, 0.000, 0.131)
Au (0.500, 0.000, 0.378)
Au (0.500, 0.000, 0.622)
Au (0.500, 0.000, 0.869)
Au (0.000, 0.500, 0.131)
Au (0.000, 0.500, 0.378)
Au (0.000, 0.500, 0.622)
Au (0.000, 0.500, 0.869)

Calculated values
Energy of formation from the pure elements, kcal/mol of atoms: -0.7
Total moment, μB per atom: 0.000
Mass density, g/cm3: 15.86